Entry 1:
Here is an optimized crystal structure of CoAgB2Pd from the Alexandria database. Energies are from PBE.

Values from the calculation:
ΔH_f (0 K): 1.37 eV/atom

a = 3.977 Å, b = 5.184 Å, c = 3.977 Å
α = 90.00°, β = 90.00°, γ = 90.00°
Last column: magnetic moment on the atom in μB.
Fractional positions:
B 0.000 0.000 0.500  0.04
B 0.500 0.000 0.000  0.01
Co 0.500 0.500 0.500  2.06
Pd 0.000 0.000 0.000  0.03
Ag 0.000 0.500 0.000  0.01

Entry 2:
Here is an optimized crystal structure of CoAg2BPt from the Alexandria database. Energies are from PBE.

Values from the calculation:
ΔH_f (0 K): 1.02 eV/atom

a = 4.812 Å, b = 3.570 Å, c = 4.812 Å
α = 90.00°, β = 90.00°, γ = 90.00°
Last column: magnetic moment on the atom in μB.
Fractional positions:
B 0.000 0.500 0.000  -0.04
Co 0.000 0.000 0.000  0.72
Ag 0.000 0.000 0.500  0.03
Ag 0.500 0.000 0.000  0.01
Pt 0.500 0.500 0.500  0.01

Entry 3:
Here is an optimized crystal structure of CoAgB2Rh from the Alexandria database. Energies are from PBE.

Values from the calculation:
ΔH_f (0 K): 1.04 eV/atom

a = 3.752 Å, b = 4.763 Å, c = 3.752 Å
α = 90.00°, β = 90.00°, γ = 90.00°
Fractional positions:
Co 0.000 0.000 0.000
B 0.000 0.000 0.500
B 0.500 0.000 0.000
Rh 0.500 0.500 0.500
Ag 0.000 0.500 0.000

Entry 4:
Here is an optimized crystal structure of CoAgB2Ru from the Alexandria database. Energies are from PBE.

Values from the calculation:
ΔH_f (0 K): 1.26 eV/atom

a = 3.760 Å, b = 4.749 Å, c = 3.760 Å
α = 90.00°, β = 90.00°, γ = 90.00°
Last column: magnetic moment on the atom in μB.
Fractional positions:
Ru 0.500 0.500 0.500  1.46
B 0.000 0.000 0.500  -0.01
B 0.500 0.000 0.000  0.01
Co 0.000 0.000 0.000  0.10
Ag 0.000 0.500 0.000  0.00

Entry 5:
Here is an optimized crystal structure of CoAgBS2 from the Alexandria database. Energies are from PBE.

Values from the calculation:
formation energy from raw total energies: 180.6 kJ per mole of atoms

a = 4.786 Å, b = 4.792 Å, c = 4.786 Å
α = 90.00°, β = 90.00°, γ = 90.00°
Last column: magnetic moment on the atom in μB.
Fractional positions:
S 0.000 0.000 0.500  0.06
S 0.500 0.000 0.000  0.06
B 0.500 0.500 0.500  -0.05
Co 0.000 0.500 0.000  2.08
Ag 0.000 0.000 0.000  0.01

Entry 6:
Here is an optimized crystal structure of ZrCo2AgB from the Alexandria database. Energies are from PBE.

Values from the calculation:
ΔH_f (0 K): 0.09 eV/atom

a = 4.002 Å, b = 4.224 Å, c = 4.002 Å
α = 90.00°, β = 90.00°, γ = 90.00°
Last column: magnetic moment on the atom in μB.
Fractional positions:
B 0.000 0.000 0.000  -0.02
Co 0.000 0.000 0.500  0.30
Co 0.500 0.000 0.000  0.58
Zr 0.500 0.500 0.500  0.01
Ag 0.000 0.500 0.000  0.03

Entry 7:
Here is an optimized crystal structure of CrAgB2 from the Alexandria database. Energies are from PBE.

Values from the calculation:
ΔE to the lowest computed polymorph: 0.000 eV/atom
ΔH_f (0 K): 0.94 eV/atom

a = 5.714 Å, b = 5.714 Å, c = 4.909 Å
α = 54.41°, β = 54.41°, γ = 90.00°
Fractional positions:
Cr 0.500 0.500 0.000
Cr 0.250 0.750 0.500
B 0.593 0.125 0.250
B 0.157 0.625 0.250
B 0.375 0.407 0.750
B 0.875 0.843 0.750
Ag 0.000 0.000 0.000
Ag 0.750 0.250 0.500

Entry 8:
Here is an optimized crystal structure of Cr2Ag2B from the Alexandria database. Energies are from PBE.

Values from the calculation:
ΔE to the lowest computed polymorph: 0.670 eV/atom
ΔH_f (0 K): 1.23 eV/atom

a = 3.488 Å, b = 3.488 Å, c = 7.001 Å
α = 75.58°, β = 75.58°, γ = 90.00°
Last column: magnetic moment on the atom in μB.
Fractional positions:
Cr 0.430 0.430 0.140  0.51
Cr 0.570 0.570 0.860  0.51
B 0.000 0.000 0.000  -0.06
Ag 0.750 0.250 0.500  0.01
Ag 0.250 0.750 0.500  0.01

Entry 9:
Here is an optimized crystal structure of Cr2AgB from the Alexandria database. Energies are from PBE.

Values from the calculation:
ΔH_f (0 K): 1.04 eV/atom

a = 3.485 Å, b = 3.485 Å, c = 8.812 Å
α = 78.60°, β = 78.60°, γ = 90.00°
Fractional positions:
Cr 0.552 0.125 0.250
Cr 0.198 0.625 0.250
Cr 0.375 0.448 0.750
Cr 0.875 0.802 0.750
B 0.500 0.500 0.000
B 0.250 0.750 0.500
Ag 0.000 0.000 0.000
Ag 0.750 0.250 0.500

Entry 10:
Here is an optimized crystal structure of CrAgB2 from the Alexandria database. Energies are from PBE.

Values from the calculation:
ΔE to the lowest computed polymorph: 0.029 eV/atom
ΔH_f (0 K): 0.96 eV/atom

a = 3.852 Å, b = 3.852 Å, c = 3.852 Å
α = 60.00°, β = 60.00°, γ = 60.00°
Fractional positions:
Cr 0.000 0.000 0.000
B 0.250 0.250 0.250
B 0.750 0.750 0.750
Ag 0.500 0.500 0.500

Entry 11:
Here is an optimized crystal structure of Cr3AgB from the Alexandria database. Energies are from PBE.

Values from the calculation:
ΔE to the lowest computed polymorph: 1.910 eV/atom
ΔH_f (0 K): 2.38 eV/atom

a = 4.961 Å, b = 4.961 Å, c = 4.961 Å
α = 90.00°, β = 90.00°, γ = 90.00°
Last column: magnetic moment on the atom in μB.
Fractional positions:
Cr 0.000 0.500 0.000  3.87
Cr 0.000 0.000 0.500  3.98
Cr 0.500 0.000 0.000  3.84
B 0.500 0.500 0.500  -0.05
Ag 0.000 0.000 0.000  0.19

Entry 12:
Here is an optimized crystal structure of CrAgB3 from the Alexandria database. Energies are from PBE.

Values from the calculation:
ΔE to the lowest computed polymorph: 1.298 eV/atom
ΔH_f (0 K): 2.47 eV/atom

a = 4.059 Å, b = 4.059 Å, c = 4.059 Å
α = 90.00°, β = 90.00°, γ = 90.00°
Last column: magnetic moment on the atom in μB.
Fractional positions:
Cr 0.500 0.500 0.500  -0.05
B 0.000 0.500 0.000  -0.04
B 0.000 0.000 0.500  -0.06
B 0.500 0.000 0.000  -0.01
Ag 0.000 0.000 0.000  -0.04

E_tot / eV per atom: -4.327, -4.084, -5.088, -5.259, -3.106, -6.363, -5.522, -5.097, -6.154, -5.493, -5.303, -4.028
Size of the total moment / Bohr magnetons per cell: 2.17, 0.69, 0.00, 1.60, 2.17, 0.90, 0.00, 1.00, 0.00, 0.00, 13.27, 0.23